Version P
Material: Y3NiIr
Method: DFT, PBE-GGA
State: optimized geometry

a = 5.3233 Å, b = 5.3233 Å, c = 5.3233 Å
α = 90.00°, β = 90.00°, γ = 90.00°
Fractional coordinates of all 5 atoms:
1 Y 0.0000 0.0000 0.5000
2 Y 0.0000 0.5000 0.0000
3 Y 0.5000 0.0000 0.0000
4 Ni 0.5000 0.5000 0.5000
5 Ir 0.0000 0.0000 0.0000

For the density of states at the Fermi level, the calculation gives 0.811 states/eV/atom. For the total magnetic moment, the calculation gives 0.000 μB per atom.

=====

Version Q
Material: Y3NiIr
Method: DFT, PBE-GGA
State: optimized geometry

a = 4.0626 Å, b = 9.0339 Å, c = 6.3583 Å
α = 90.00°, β = 90.00°, γ = 90.00°
Fractional coordinates of all 10 atoms:
1 Y 0.2500 0.0570 0.2312
2 Y 0.2500 0.2500 0.7217
3 Y 0.2500 0.4430 0.2312
4 Y 0.7500 0.5570 0.7688
5 Y 0.7500 0.7500 0.2783
6 Y 0.7500 0.9430 0.7688
7 Ni 0.2500 0.7500 0.5722
8 Ni 0.7500 0.2500 0.4278
9 Ir 0.2500 0.7500 0.9722
10 Ir 0.7500 0.2500 0.0278

For the density of states at the Fermi level, the calculation gives 1.004 states/eV/atom. For the total magnetic moment, the calculation gives 0.000 μB per atom.

=====

Which of them is the most stable, and which is the least stable? version Q and version P, in that order.

=====

Version P
Material: Y2NiIr
Method: DFT, PBE-GGA
State: optimized geometry

a = 4.8346 Å, b = 4.8346 Å, c = 4.8346 Å
α = 60.00°, β = 60.00°, γ = 60.00°
Fractional coordinates of all 4 atoms:
1 Y 0.2500 0.2500 0.2500
2 Y 0.7500 0.7500 0.7500
3 Ni 0.0000 0.0000 0.0000
4 Ir 0.5000 0.5000 0.5000

For the density of states at the Fermi level, the calculation gives 0.624 states/eV/atom. For the total magnetic moment, the calculation gives 0.000 μB per atom.

=====

Version Q
Material: Y2NiIr
Method: DFT, PBE-GGA
State: optimized geometry

a = 3.9423 Å, b = 3.9423 Å, c = 5.6912 Å
α = 90.00°, β = 90.00°, γ = 90.00°
Fractional coordinates of all 4 atoms:
1 Y 0.0000 0.0000 0.0000
2 Y 0.5000 0.5000 0.4203
3 Ni 0.5000 0.5000 0.9113
4 Ir 0.0000 0.0000 0.5031

For the density of states at the Fermi level, the calculation gives 0.618 states/eV/atom. For the total magnetic moment, the calculation gives 0.000 μB per atom.

=====

Version R
Material: Y2NiIr
Method: DFT, PBE-GGA
State: optimized geometry

a = 4.1542 Å, b = 5.5869 Å, c = 5.5869 Å
α = 40.74°, β = 90.00°, γ = 90.00°
Fractional coordinates of all 4 atoms:
1 Y 0.0000 0.0000 0.0000
2 Y 0.5000 0.2860 0.2860
3 Ni 0.5000 0.5695 0.5695
4 Ir 0.0000 0.7161 0.7161

For the density of states at the Fermi level, the calculation gives 0.559 states/eV/atom. For the total magnetic moment, the calculation gives 0.000 μB per atom.

=====

Version S
Material: Y2NiIr
Method: DFT, PBE-GGA
State: optimized geometry

a = 4.8053 Å, b = 4.8053 Å, c = 3.4641 Å
α = 90.00°, β = 90.00°, γ = 90.00°
Fractional coordinates of all 4 atoms:
1 Y 0.0000 0.5000 0.0000
2 Y 0.5000 0.0000 0.0000
3 Ni 0.0000 0.0000 0.5000
4 Ir 0.5000 0.5000 0.5000

For the density of states at the Fermi level, the calculation gives 0.654 states/eV/atom. For the total magnetic moment, the calculation gives 0.000 μB per atom.

=====

Which of them is the most stable, and which is the least stable? version R and version Q, in that order.

=====

Version P
Material: Y2NiIr
Method: DFT, PBE-GGA
State: optimized geometry

a = 6.2551 Å, b = 6.2551 Å, c = 6.2551 Å
α = 146.51°, β = 140.73°, γ = 52.54°
Fractional coordinates of all 4 atoms:
1 Y 0.0000 0.0000 0.0000
2 Y 0.7263 0.2263 0.5000
3 Ni 0.4505 0.4505 0.0000
4 Ir 0.2949 0.7949 0.5000

For the density of states at the Fermi level, the calculation gives 0.635 states/eV/atom. For the total magnetic moment, the calculation gives 0.000 μB per atom.

=====

Version Q
Material: Y2NiIr
Method: DFT, PBE-GGA
State: optimized geometry

a = 6.0710 Å, b = 6.0710 Å, c = 6.0710 Å
α = 105.05°, β = 105.05°, γ = 118.72°
Fractional coordinates of all 8 atoms:
1 Y 0.1177 0.6250 0.9927
2 Y 0.3750 0.3677 0.4927
3 Y 0.6323 0.1250 0.0073
4 Y 0.8750 0.8823 0.5073
5 Ni 0.0000 0.0000 0.0000
6 Ni 0.7500 0.2500 0.5000
7 Ir 0.2500 0.7500 0.5000
8 Ir 0.5000 0.5000 0.0000

For the density of states at the Fermi level, the calculation gives 0.539 states/eV/atom. For the total magnetic moment, the calculation gives 0.000 μB per atom.

=====

Version R
Material: Y2NiIr
Method: DFT, PBE-GGA
State: optimized geometry

a = 5.6364 Å, b = 4.0898 Å, c = 7.8357 Å
α = 90.00°, β = 110.30°, γ = 90.00°
Fractional coordinates of all 8 atoms:
1 Y 0.2119 0.2500 0.4319
2 Y 0.2149 0.2500 0.9251
3 Y 0.7851 0.7500 0.0749
4 Y 0.7881 0.7500 0.5681
5 Ni 0.3504 0.7500 0.2106
6 Ni 0.6496 0.2500 0.7894
7 Ir 0.3562 0.7500 0.7156
8 Ir 0.6438 0.2500 0.2844

For the density of states at the Fermi level, the calculation gives 0.544 states/eV/atom. For the total magnetic moment, the calculation gives 0.000 μB per atom.

=====

Which of them is the most stable, and which is the least stable? version R and version Q, in that order.